Entry 1:
# LiPuGe2Au4

A geometry-optimized LiPuGe2Au4 structure (PBE, Alexandria).

Calculated values
Volume: 153.4 Å³ per cell
Size of the total moment: 5.48 μB per formula unit
Electronic total energy: -41.034 eV per formula unit
DFT formation energy: -0.31 eV/atom

```
8
Lattice="2.2900 1.3221 8.4443 -2.2900 1.3221 8.4443 0.0000 -2.6443 8.4443" Properties=species:S:1:pos:R:3 pbc="T T T"
Li 0.0000 0.0000 0.0000
Pu 0.0000 0.0000 12.6665
Ge 0.0000 0.0000 6.4443
Ge 0.0000 0.0000 18.8886
Au 0.0000 0.0000 2.6543
Au 0.0000 0.0000 9.1823
Au 0.0000 0.0000 16.1506
Au 0.0000 0.0000 22.6787
```

=====

Entry 2:
# LiPuGeAu

A geometry-optimized LiPuGeAu structure (PBE, Alexandria).

Calculated values
Volume: 81.8 Å³ per cell
Size of the total moment: 5.19 μB per formula unit
Electronic total energy: -25.615 eV per formula unit
DFT formation energy: -0.37 eV/atom

```
4
Lattice="0.0000 3.4448 3.4448 3.4448 0.0000 3.4448 3.4448 3.4448 0.0000" Properties=species:S:1:pos:R:3 pbc="T T T"
Li 0.0000 0.0000 0.0000
Pu 3.4448 3.4448 3.4448
Ge 5.1672 5.1672 5.1672
Au 1.7224 1.7224 1.7224
```

=====

Entry 3:
# RbLi2GeAu

A geometry-optimized RbLi2GeAu structure (PBE, Alexandria).

Calculated values
Energy relative to the lowest polymorph listed for this composition: 1.146 eV/atom
Volume: 144.9 Å³ per cell
Size of the total moment: 0.00 μB per formula unit
Electronic total energy: -7.953 eV per formula unit
DFT formation energy: 0.95 eV/atom

```
5
Lattice="5.0698 0.0000 0.0000 0.0000 5.0698 0.0000 0.0000 0.0000 5.6382" Properties=species:S:1:pos:R:3 pbc="T T T"
Rb 0.0000 0.0000 0.0000
Li 0.0000 2.5349 0.0000
Li 2.5349 0.0000 0.0000
Ge 2.5349 2.5349 2.8191
Au 0.0000 0.0000 2.8191
```

=====

Entry 4:
# RbLi2GeAu

A geometry-optimized RbLi2GeAu structure (PBE, Alexandria).

Calculated values
Energy relative to the lowest polymorph listed for this composition: 0.000 eV/atom
Volume: 132.5 Å³ per cell
Size of the total moment: 0.00 μB per formula unit
Electronic total energy: -13.683 eV per formula unit
DFT formation energy: -0.20 eV/atom

```
5
Lattice="5.1576 0.0000 0.0000 0.0000 5.1576 0.0000 0.0000 0.0000 4.9815" Properties=species:S:1:pos:R:3 pbc="T T T"
Rb 0.0000 0.0000 0.0000
Li 0.0000 2.5788 2.4907
Li 2.5788 0.0000 2.4907
Ge 2.5788 2.5788 2.4907
Au 2.5788 2.5788 0.0000
```

=====

Entry 5:
# RbLi2GeAu

A geometry-optimized RbLi2GeAu structure (PBE, Alexandria).

Calculated values
Energy relative to the lowest polymorph listed for this composition: 0.047 eV/atom
Volume: 137.1 Å³ per cell
Size of the total moment: 0.00 μB per formula unit
Electronic total energy: -13.450 eV per formula unit
DFT formation energy: -0.15 eV/atom

```
5
Lattice="5.2394 0.0000 0.0000 0.0000 5.2394 0.0000 0.0000 0.0000 4.9955" Properties=species:S:1:pos:R:3 pbc="T T T"
Rb 0.0000 0.0000 0.0000
Li 0.0000 2.6197 2.4977
Li 2.6197 0.0000 2.4977
Ge 2.6197 2.6197 0.0000
Au 2.6197 2.6197 2.4977
```

=====

Entry 6:
# RbLiGeAu2

A geometry-optimized RbLiGeAu2 structure (PBE, Alexandria).

Calculated values
Volume: 132.1 Å³ per cell
Size of the total moment: 0.00 μB per formula unit
Electronic total energy: -15.001 eV per formula unit
DFT formation energy: -0.19 eV/atom

```
5
Lattice="5.0745 0.0000 0.0000 0.0000 5.0745 0.0000 0.0000 0.0000 5.1294" Properties=species:S:1:pos:R:3 pbc="T T T"
Rb 0.0000 0.0000 0.0000
Li 2.5373 2.5373 0.0000
Ge 2.5373 2.5373 2.5647
Au 0.0000 2.5373 2.5647
Au 2.5373 0.0000 2.5647
```

=====

Entry 7:
# Li2GeAuS4

A geometry-optimized Li2GeAuS4 structure (PBE, Alexandria).

Calculated values
Volume: 334.1 Å³ per cell
Size of the total moment: 0.00 μB per formula unit
Electronic total energy: -32.836 eV per formula unit
Raw formation energy: -575.4 meV/atom

```
16
Lattice="7.7998 0.0000 0.0000 0.0000 7.2370 0.0000 0.0000 0.0000 5.9185" Properties=species:S:1:pos:R:3 pbc="T T T"
Li 1.8369 1.2679 0.0000
Li 2.0629 5.9690 2.9593
Li 5.7368 5.9690 2.9593
Li 5.9628 1.2679 0.0000
Ge 0.0000 4.9393 0.0796
Ge 3.8999 2.2977 3.0389
Au 0.0000 2.5453 2.7032
Au 3.8999 4.6916 5.6625
S 0.0000 2.7789 5.3137
S 0.0000 4.9414 2.3083
S 1.8196 6.0825 5.3629
S 2.0803 1.1545 2.4036
S 3.8999 2.2956 5.2675
S 3.8999 4.4581 2.3544
S 5.7195 1.1545 2.4036
S 5.9802 6.0825 5.3629
```

=====

Entry 8:
# LiScGeAu

A geometry-optimized LiScGeAu structure (PBE, Alexandria).

Calculated values
Volume: 70.3 Å³ per cell
Size of the total moment: 0.00 μB per formula unit
Electronic total energy: -18.653 eV per formula unit
DFT formation energy: -0.63 eV/atom

```
4
Lattice="0.0000 3.2751 3.2751 3.2751 0.0000 3.2751 3.2751 3.2751 0.0000" Properties=species:S:1:pos:R:3 pbc="T T T"
Li 0.0000 0.0000 0.0000
Sc 3.2751 3.2751 3.2751
Ge 4.9127 4.9127 4.9127
Au 1.6376 1.6376 1.6376
```

=====

Entry 9:
# LiGeAuSe2

A geometry-optimized LiGeAuSe2 structure (PBE, Alexandria).

Calculated values
Volume: 104.6 Å³ per cell
Size of the total moment: 0.00 μB per formula unit
Electronic total energy: -15.475 eV per formula unit
Raw formation energy: 260.5 meV/atom

```
5
Lattice="4.7761 0.0000 0.0000 0.0000 4.7761 0.0000 0.0000 0.0000 4.5869" Properties=species:S:1:pos:R:3 pbc="T T T"
Li 0.0000 0.0000 0.0000
Ge 2.3881 2.3881 2.2934
Au 0.0000 0.0000 2.2934
Se 0.0000 2.3881 0.0000
Se 2.3881 0.0000 0.0000
```

=====

Entry 10:
# Li2GeAuSe4

A geometry-optimized Li2GeAuSe4 structure (PBE, Alexandria).

Calculated values
Volume: 393.1 Å³ per cell
Size of the total moment: 0.00 μB per formula unit
Electronic total energy: -29.824 eV per formula unit
Raw formation energy: -520.4 meV/atom

```
16
Lattice="7.9533 0.0000 0.0000 0.0000 7.4030 0.0000 0.0000 0.0000 6.6770" Properties=species:S:1:pos:R:3 pbc="T T T"
Li 1.8475 1.4348 0.0000
Li 2.1291 5.9682 3.3385
Li 5.8242 5.9682 3.3385
Li 6.1058 1.4348 0.0000
Ge 0.0000 5.0193 6.5999
Ge 3.9767 2.3837 3.2614
Au 0.0000 2.5223 2.8519
Au 3.9767 4.8807 6.1903
Se 0.0000 2.8422 5.6369
Se 0.0000 5.0096 2.3206
Se 1.8682 6.3445 5.8482
Se 2.1084 1.0585 2.5097
Se 3.9767 2.3935 5.6591
Se 3.9767 4.5608 2.2984
Se 5.8449 1.0585 2.5097
Se 6.0851 6.3445 5.8482
```

=====

Entry 11:
# LiSm2Ge4Au3

A geometry-optimized LiSm2Ge4Au3 structure (PBE, Alexandria).

Calculated values
Volume: 203.0 Å³ per cell
Size of the total moment: 0.00 μB per formula unit
Electronic total energy: -45.291 eV per formula unit
DFT formation energy: -0.56 eV/atom

```
10
Lattice="4.2087 0.0000 0.0000 0.0000 4.2087 0.0000 0.0000 0.0000 11.4587" Properties=species:S:1:pos:R:3 pbc="T T T"
Li 0.0000 0.0000 0.0000
Sm 0.0000 2.1043 8.7632
Sm 2.1043 0.0000 2.6956
Ge 0.0000 0.0000 5.7294
Ge 0.0000 2.1043 1.5355
Ge 2.1043 0.0000 9.9233
Ge 2.1043 2.1043 5.7294
Au 0.0000 2.1043 4.0527
Au 2.1043 0.0000 7.4061
Au 2.1043 2.1043 0.0000
```

=====

Entry 12:
# Li2SmGeAu4

A geometry-optimized Li2SmGeAu4 structure (PBE, Alexandria).

Calculated values
Volume: 153.3 Å³ per cell
Size of the total moment: 0.00 μB per formula unit
Electronic total energy: -30.401 eV per formula unit
DFT formation energy: -0.52 eV/atom

```
8
Lattice="2.2600 1.3048 8.6628 -2.2600 1.3048 8.6628 0.0000 -2.6096 8.6628" Properties=species:S:1:pos:R:3 pbc="T T T"
Li 0.0000 0.0000 6.1601
Li 0.0000 0.0000 19.8285
Sm 0.0000 0.0000 0.0000
Ge 0.0000 0.0000 12.9943
Au 0.0000 0.0000 3.2590
Au 0.0000 0.0000 10.2759
Au 0.0000 0.0000 15.7127
Au 0.0000 0.0000 22.7295
```

=====

Entry 13:
# LiSmGe2Au

A geometry-optimized LiSmGe2Au structure (PBE, Alexandria).

Calculated values
Volume: 96.7 Å³ per cell
Size of the total moment: 0.00 μB per formula unit
Electronic total energy: -22.480 eV per formula unit
DFT formation energy: -0.67 eV/atom

```
5
Lattice="-2.0914 2.0914 5.5279 2.0914 -2.0914 5.5279 2.0914 2.0914 -5.5279" Properties=species:S:1:pos:R:3 pbc="T T T"
Li 0.0000 0.0000 0.0000
Sm 2.0914 0.0000 2.7639
Ge 0.0000 2.0914 1.5366
Ge 0.0000 2.0914 3.9913
Au 0.0000 0.0000 5.5279
```

=====

Entry 14:
# Li2SnGeAu4

A geometry-optimized Li2SnGeAu4 structure (PBE, Alexandria).

Calculated values
Volume: 143.2 Å³ per cell
Size of the total moment: 0.00 μB per formula unit
Electronic total energy: -28.349 eV per formula unit
DFT formation energy: -0.35 eV/atom

```
8
Lattice="2.3151 1.3366 7.7151 -2.3151 1.3366 7.7151 0.0000 -2.6732 7.7151" Properties=species:S:1:pos:R:3 pbc="T T T"
Li 0.0000 0.0000 5.7973
Li 0.0000 0.0000 17.3480
Sn 0.0000 0.0000 0.0000
Ge 0.0000 0.0000 11.5727
Au 0.0000 0.0000 3.0032
Au 0.0000 0.0000 8.8063
Au 0.0000 0.0000 14.3390
Au 0.0000 0.0000 20.1421
```

=====

Entry 15:
# SrLiGeAu

A geometry-optimized SrLiGeAu structure (PBE, Alexandria).

Calculated values
Volume: 85.4 Å³ per cell
Size of the total moment: 0.00 μB per formula unit
Electronic total energy: -13.114 eV per formula unit
DFT formation energy: -0.41 eV/atom

```
4
Lattice="0.0000 3.4949 3.4949 3.4949 0.0000 3.4949 3.4949 3.4949 0.0000" Properties=species:S:1:pos:R:3 pbc="T T T"
Sr 0.0000 0.0000 0.0000
Li 5.2423 5.2423 5.2423
Ge 3.4949 3.4949 3.4949
Au 1.7474 1.7474 1.7474
```

=====

Entry 16:
# SrLiGe2Au

A geometry-optimized SrLiGe2Au structure (PBE, Alexandria).

Calculated values
Volume: 106.1 Å³ per cell
Size of the total moment: 0.00 μB per formula unit
Electronic total energy: -18.833 eV per formula unit
DFT formation energy: -0.55 eV/atom

```
5
Lattice="-2.2037 2.2037 5.4599 2.2037 -2.2037 5.4599 2.2037 2.2037 -5.4599" Properties=species:S:1:pos:R:3 pbc="T T T"
Sr 0.0000 0.0000 0.0000
Li 0.0000 2.2037 2.7300
Ge 0.0000 0.0000 4.2158
Ge 0.0000 0.0000 6.7040
Au 2.2037 0.0000 2.7300
```

=====

Entry 17:
# SrLiGe2Au5

A geometry-optimized SrLiGe2Au5 structure (PBE, Alexandria).

Calculated values
Volume: 205.8 Å³ per cell
Size of the total moment: 0.00 μB per formula unit
Electronic total energy: -31.871 eV per formula unit
DFT formation energy: -0.29 eV/atom

```
9
Lattice="5.0048 0.0000 0.0000 0.0000 5.0048 0.0000 0.0000 0.0000 8.2151" Properties=species:S:1:pos:R:3 pbc="T T T"
Sr 0.0000 0.0000 0.0000
Li 0.0000 0.0000 4.1075
Ge 2.5024 2.5024 2.5520
Ge 2.5024 2.5024 5.6630
Au 0.0000 2.5024 2.6126
Au 0.0000 2.5024 5.6025
Au 2.5024 0.0000 2.6126
Au 2.5024 0.0000 5.6025
Au 2.5024 2.5024 0.0000
```

=====

Entry 18:
# Sr2LiGe3Au4

A geometry-optimized Sr2LiGe3Au4 structure (PBE, Alexandria).

Calculated values
Volume: 218.8 Å³ per cell
Size of the total moment: 0.00 μB per formula unit
Electronic total energy: -37.869 eV per formula unit
DFT formation energy: -0.56 eV/atom

```
10
Lattice="4.5628 0.0000 0.0000 0.0000 4.5628 0.0000 0.0000 0.0000 10.5086" Properties=species:S:1:pos:R:3 pbc="T T T"
Sr 0.0000 2.2814 2.5837
Sr 2.2814 0.0000 7.9249
Li 0.0000 0.0000 5.2543
Ge 0.0000 2.2814 9.1094
Ge 2.2814 0.0000 1.3992
Ge 2.2814 2.2814 5.2543
Au 0.0000 0.0000 0.0000
Au 0.0000 2.2814 6.5389
Au 2.2814 0.0000 3.9697
Au 2.2814 2.2814 0.0000
```

=====

Entry 19:
# SrLi2GeAu

A geometry-optimized SrLi2GeAu structure (PBE, Alexandria).

Calculated values
Volume: 123.0 Å³ per cell
Size of the total moment: 0.32 μB per formula unit
Electronic total energy: -14.862 eV per formula unit
DFT formation energy: -0.29 eV/atom

```
5
Lattice="4.9423 0.0000 0.0000 0.0000 4.9423 0.0000 0.0000 0.0000 5.0358" Properties=species:S:1:pos:R:3 pbc="T T T"
Sr 0.0000 0.0000 0.0000
Li 0.0000 2.4712 2.5179
Li 2.4712 0.0000 2.5179
Ge 2.4712 2.4712 0.0000
Au 2.4712 2.4712 2.5179
```

=====

Entry 20:
# SrLi2GeAu4

A geometry-optimized SrLi2GeAu4 structure (PBE, Alexandria).

Calculated values
Volume: 164.0 Å³ per cell
Size of the total moment: 0.00 μB per formula unit
Electronic total energy: -26.928 eV per formula unit
DFT formation energy: -0.46 eV/atom

```
8
Lattice="2.3012 1.3286 8.9383 -2.3012 1.3286 8.9383 0.0000 -2.6572 8.9383" Properties=species:S:1:pos:R:3 pbc="T T T"
Sr 0.0000 0.0000 0.0000
Li 0.0000 0.0000 6.2766
Li 0.0000 0.0000 20.5384
Ge 0.0000 0.0000 13.4075
Au 0.0000 0.0000 3.4461
Au 0.0000 0.0000 10.7814
Au 0.0000 0.0000 16.0336
Au 0.0000 0.0000 23.3688
```